[1]
A plane-wave DFT calculation with PBE was carried out for crystalline Ba2Ga6CoRh at its relaxed geometry.

Computed properties:
SG: R-3m
DOS(E_F), states/eV/cell: 4.41
Calculated formation energy, meV per atom: -481
E_tot, eV/cell: -41.3

Cell lengths 6.961, 6.558, 6.560 Å; angles 59.99, 61.89, 90.00 degrees
Sites, in units of the cell vectors:
1 Ga 0.324 0.255 0.491
2 Ga 0.676 0.745 0.509
3 Ga 0.676 0.745 0.070
4 Ga 0.324 0.815 0.931
5 Ga 0.676 0.185 0.069
6 Ga 0.324 0.255 0.930
7 Co 0.500 0.500 0.000
8 Ba 0.853 0.284 0.431
9 Ba 0.147 0.716 0.569
10 Rh 0.000 0.000 0.000

***

[2]
A plane-wave DFT calculation with PBE was carried out for crystalline Ba2GaCoTe at its relaxed geometry.

Computed properties:
SG: P4/mmm
DOS(E_F), states/eV/cell: 1.28
Formation energy without anion corrections, eV per atom: -0.58
E_tot, eV/cell: -20.0

Cell lengths 5.820, 5.820, 4.653 Å; angles 90.00, 90.00, 90.00 degrees
Sites, in units of the cell vectors:
1 Co 0.000 0.000 0.000
2 Ga 0.000 0.000 0.500
3 Te 0.500 0.500 0.500
4 Ba 0.500 0.000 0.000
5 Ba 0.000 0.500 0.000

***

[3]
A plane-wave DFT calculation with PBE was carried out for crystalline BaTlGa2Co at its relaxed geometry.

Computed properties:
SG: P4/mmm
DOS(E_F), states/eV/cell: 1.86
Calculated formation energy, meV per atom: -225
E_tot, eV/cell: -18.6

Cell lengths 4.794, 4.794, 5.106 Å; angles 90.00, 90.00, 90.00 degrees
Sites, in units of the cell vectors:
1 Ga 0.500 0.000 0.000
2 Ga 0.000 0.500 0.000
3 Ba 0.500 0.500 0.500
4 Co 0.000 0.000 0.000
5 Tl 0.000 0.000 0.500

***

[4]
A plane-wave DFT calculation with PBE was carried out for crystalline BaZn2GaCo at its relaxed geometry.

Computed properties:
SG: P4/mmm
DOS(E_F), states/eV/cell: 2.33
Calculated formation energy, meV per atom: -232
E_tot, eV/cell: -15.8

Cell lengths 4.818, 4.818, 4.643 Å; angles 90.00, 90.00, 90.00 degrees
Sites, in units of the cell vectors:
1 Ga 0.000 0.000 0.500
2 Ba 0.500 0.500 0.500
3 Zn 0.500 0.000 0.000
4 Zn 0.000 0.500 0.000
5 Co 0.000 0.000 0.000

***

- Which of these has the lowest DOS(E_F)?
  Ba2GaCoTe